Below is CaTl2W after structural relaxation, with properties calculated at the PBE level.

Lattice parameters (Å, degrees): 7.468 7.468 7.468 90.00 90.00 90.00
Space group F-43m (No. 216)
Symmetry-distinct sites (fractional):
Ca1 0.000 0.000 0.000
Tl1 0.000 0.000 0.500
Tl2 0.250 0.250 0.250
W1 0.250 0.250 0.750

=====

Below is CaTlW2 after structural relaxation, with properties calculated at the PBE level.

Lattice parameters (Å, degrees): 5.360 2.845 5.556 90.00 111.16 90.00
Space group P2/m (No. 10)
Symmetry-distinct sites (fractional):
Ca1 0.000 0.000 0.000
Tl1 0.500 0.500 0.000
W1 0.000 0.500 0.500
W2 0.500 0.000 0.500

=====

Below is CaTl2W after structural relaxation, with properties calculated at the PBE level.

Lattice parameters (Å, degrees): 4.282 4.282 10.037 90.00 90.00 90.00
Space group I-4m2 (No. 119)
Symmetry-distinct sites (fractional):
Ca1 0.000 0.000 0.000
Tl1 0.000 0.000 0.500
Tl2 0.000 0.500 0.750
W1 0.000 0.500 0.250

=====

Number 1: energy -3.972 eV/atom, spin magnetization 14.415 μB per cell, calculated formation energy 0.9498 eV per atom. Number 2: energy -6.644 eV/atom, spin magnetization 0.000 μB per cell, calculated formation energy 0.9243 eV per atom. Number 3: energy -4.223 eV/atom, spin magnetization 0.000 μB per cell, calculated formation energy 0.6988 eV per atom.